# AlGa2SeCl PBE relaxed
data_AlGa2SeCl
_chemical_formula_sum 'Al1 Ga2 Se1 Cl1'
_symmetry_space_group_name_H-M 'P 4/m m m'
_symmetry_Int_Tables_number 123
_symmetry_space_group_name_Hall '-P 4 2'
_cell_length_a 5.2069
_cell_length_b 5.2069
_cell_length_c 5.4258
_cell_angle_alpha 90.00
_cell_angle_beta 90.00
_cell_angle_gamma 90.00
loop_
_atom_site_label
_atom_site_fract_x
_atom_site_fract_y
_atom_site_fract_z
Al1 0.0000 0.0000 0.0000
Ga1 0.0000 0.5000 0.5000
Se1 0.5000 0.5000 0.5000
Cl1 0.5000 0.5000 0.0000
# Fermi-level density of states   2.71 states/eV/f.u.
# Crystal system   tetragonal
# Uncorrected energy   -13.1 eV for the cell shown
# Total magnetization   0.00 μB per formula unit